CsCd2Ag2: optimized geometry, PBE.

```
CsCd2Ag2
1.0
-4.7488 3.3090 4.1659
-7.4095 -0.4035 -1.8247
-2.3281 -3.5837 6.4111
Ag Cd Cs
4 4 2
Direct
0.4882 0.6883 0.0280
0.2076 0.8111 0.4726
0.5118 0.3117 0.9720
0.7924 0.1889 0.5274
0.2634 0.1019 0.2058
0.7366 0.8981 0.7942
0.4381 0.6046 0.7039
0.5619 0.3954 0.2961
0.1307 0.2509 0.7525
0.8693 0.7491 0.2475
```

Computed properties:
Its relative energy among the computed polymorphs is 0 meV per atom. The volume comes out at 32.13 A^3/atom. For the total energy, the calculation gives -1.69 eV per atom. The value obtained for the formation energy is -0.0132 eV/atom.

---

CuTeMo2: optimized geometry, PBE.

```
CuTeMo2
1.0
3.8368 0.0000 0.0000
0.0000 3.8368 0.0000
1.9184 1.9184 9.7265
Te Mo Cu
2 4 2
Direct
0.7500 0.2500 0.5000
0.0000 0.0000 0.0000
0.1646 0.6250 0.2500
0.8750 0.8354 0.7500
0.3750 0.4146 0.7500
0.5854 0.1250 0.2500
0.2500 0.7500 0.5000
0.5000 0.5000 0.0000
```

Computed properties:
Its formation energy from raw total energies is 2.09 eV/f.u. The volume comes out at 17.90 A^3/atom. For the total energy, the calculation gives -6.70 eV per atom.

---

CuPdI2Br: optimized geometry, PBE.

```
CuPdI2Br
1.0
5.5245 0.0000 0.0000
0.0000 5.0702 0.0000
0.0000 0.0000 5.5245
Br Cu Pd I
1 1 1 2
Direct
0.0000 0.5000 0.0000
0.5000 0.5000 0.5000
0.0000 0.0000 0.0000
0.0000 0.0000 0.5000
0.5000 0.0000 0.0000
```

Computed properties:
Its formation energy from raw total energies is 1.57 eV/f.u. The volume comes out at 30.95 A^3/atom. For the total energy, the calculation gives -2.50 eV per atom.

---

Pr7Sm4Tm: optimized geometry, PBE.

```
Pr7Sm4Tm
1.0
7.1027 1.7950 0.9519
5.3506 7.4721 3.3143
-1.3729 0.2949 9.7435
Sm Pr Tm
4 7 1
Direct
0.2993 0.9468 0.3304
0.4486 0.5515 0.6672
0.5514 0.4485 0.3328
0.7007 0.0532 0.6696
0.1937 0.0532 0.6682
0.9426 0.5577 0.6668
0.5000 0.0000 0.0000
0.7478 0.4985 0.0009
0.8063 0.9468 0.3318
0.0574 0.4423 0.3332
0.2522 0.5015 0.9991
0.0000 0.0000 0.0000
```

Computed properties:
Its relative energy among the computed polymorphs is 0 meV per atom. The volume comes out at 34.97 A^3/atom. For the total energy, the calculation gives -4.72 eV per atom. The value obtained for the formation energy is 0.0125 eV/atom.

---

Cu3SiPb: optimized geometry, PBE.

```
Cu3SiPb
1.0
4.5199 0.0000 0.0000
0.0000 4.5199 0.0000
0.0000 0.0000 4.5199
Si Cu Pb
1 3 1
Direct
0.0000 0.0000 0.0000
0.0000 0.0000 0.5000
0.5000 0.0000 0.0000
0.0000 0.5000 0.0000
0.5000 0.5000 0.5000
```

Computed properties:
Its formation energy from raw total energies is 1.46 eV/f.u. Its relative energy among the computed polymorphs is 0 meV per atom. The volume comes out at 18.47 A^3/atom. For the total energy, the calculation gives -3.99 eV per atom.

---

LiTlIn2S4: optimized geometry, PBE.

```
LiTlIn2S4
1.0
-3.1273 -2.5409 4.1574
-2.4516 -3.4490 -3.9515
7.6079 -1.4627 0.7978
S Tl Li In
4 1 1 2
Direct
0.1430 0.1430 0.7172
0.5743 0.5743 0.7172
0.4258 0.8571 0.2829
0.8571 0.4258 0.2829
0.0000 0.0000 0.0000
0.5001 0.5001 0.0001
0.7500 0.2500 0.5001
0.2500 0.7500 0.5001
```

Computed properties:
Its formation energy from raw total energies is -5.10 eV/f.u. The volume comes out at 27.76 A^3/atom. For the total energy, the calculation gives -3.92 eV per atom.

---

ZrPaNbPd: optimized geometry, PBE.

```
ZrPaNbPd
1.0
4.8804 0.0000 0.0000
2.4402 4.2266 0.0000
2.4402 1.4089 3.9849
Zr Pd Pa Nb
1 1 1 1
Direct
0.7500 0.7500 0.7500
0.5000 0.5000 0.5000
0.2500 0.2500 0.2500
0.0000 0.0000 0.0000
```

Computed properties:
The volume comes out at 20.55 A^3/atom. For the total energy, the calculation gives -8.54 eV per atom. The value obtained for the formation energy is -0.2129 eV/atom.

---

Mn4P2H: optimized geometry, PBE.

```
Mn4P2H
1.0
-2.3300 -2.6401 0.3875
2.4848 -1.9592 1.5925
-1.5615 -0.0764 6.2826
P H Mn
2 1 4
Direct
0.6326 0.6326 0.7348
0.3674 0.3674 0.2652
0.0000 0.0000 0.0000
0.5000 0.0000 0.0000
0.1761 0.1761 0.6478
0.8239 0.8239 0.3522
0.0000 0.5000 0.0000
```

Computed properties:
The volume comes out at 10.70 A^3/atom. For the total energy, the calculation gives -7.63 eV per atom.